Material: Na4Mn3CrTe8
Method: DFT, PBE-GGA
State: optimized geometry Values from VASP.

The structure in Quantum ESPRESSO input format:
```
&SYSTEM
  ibrav = 0, nat = 16, ntyp = 4
/
ATOMIC_SPECIES
Na 22.99 Na.upf
Te 127.60 Te.upf
Mn 54.94 Mn.upf
Cr 52.00 Cr.upf
CELL_PARAMETERS angstrom
-5.700 -4.511 3.663
0.896 -6.225 -6.272
6.699 2.194 4.082
ATOMIC_POSITIONS crystal
Na 0.000 0.000 0.500
Na 0.500 0.000 0.500
Na 0.000 0.000 0.000
Na 0.500 0.000 0.000
Te 0.769 0.299 0.030
Te 0.265 0.296 0.531
Te 0.739 0.701 0.970
Te 0.735 0.704 0.469
Te 0.231 0.701 0.463
Te 0.261 0.299 0.030
Te 0.231 0.701 0.970
Te 0.769 0.299 0.537
Mn 0.500 0.500 0.000
Mn 0.500 0.500 0.500
Mn 0.000 0.500 0.500
Cr 0.000 0.500 0.000
```

Calculated values
Energy relative to the elements, uncorrected in meV per atom: -460.7
Total magnetization in μB per cell: 15.03